# 1
DFT (PBE) results for a relaxed structure of Y2TiCo.

Values from the calculation:
- space-group type = Fm-3m (225)
- energy of formation (eV/atom) = 0.261
- uncorrected energy (eV for the cell shown) = -26.9
- energy relative to the lowest polymorph listed for this composition (meV per atom) = 0.0

abc: 4.950 4.950 4.950
angles: 60.00 60.00 60.00
Fractional positions:
Y  0.250  0.250  0.250
Y  0.750  0.750  0.750
Ti  0.000  0.000  0.000
Co  0.500  0.500  0.500

---

# 2
DFT (PBE) results for a relaxed structure of Ac4PaRh4.

Values from the calculation:
- space-group type = C2/m (12)
- energy of formation (eV/atom) = -0.680
- uncorrected energy (eV for the cell shown) = -61.5

abc: 7.761 7.761 9.465
angles: 118.71 118.71 32.85
Fractional positions:
Ac  0.121  0.121  0.374
Ac  0.332  0.332  0.201
Ac  0.668  0.668  0.799
Ac  0.879  0.879  0.626
Pa  0.500  0.500  0.000
Rh  0.094  0.094  0.966
Rh  0.305  0.305  0.764
Rh  0.695  0.695  0.236
Rh  0.906  0.906  0.034

---

# 3
DFT (PBE) results for a relaxed structure of AlZn2Cl.

Values from the calculation:
- space-group type = Fm-3m (225)
- uncorrected energy (eV for the cell shown) = -7.3
- raw formation energy (meV/atom) = 218
- energy relative to the lowest polymorph listed for this composition (meV per atom) = 362.3

abc: 4.901 4.901 4.901
angles: 60.00 60.00 60.00
Fractional positions:
Al  0.000  0.000  0.000
Zn  0.250  0.250  0.250
Zn  0.750  0.750  0.750
Cl  0.500  0.500  0.500

---

# 4
DFT (PBE) results for a relaxed structure of NbSbSI2.

Values from the calculation:
- space-group type = P4/mmm (123)
- uncorrected energy (eV for the cell shown) = -18.8
- raw formation energy (meV/atom) = 530
- energy relative to the lowest polymorph listed for this composition (meV per atom) = 0.0

abc: 5.324 5.324 5.649
angles: 90.00 90.00 90.00
Fractional positions:
Nb  0.000  0.000  0.000
Sb  0.000  0.000  0.500
S  0.500  0.500  0.500
I  0.000  0.500  0.000
I  0.500  0.000  0.000

---

# 5
DFT (PBE) results for a relaxed structure of Dy2TmCd2.

Values from the calculation:
- space-group type = Immm (71)
- energy of formation (eV/atom) = -0.160
- uncorrected energy (eV for the cell shown) = -16.3
- energy relative to the lowest polymorph listed for this composition (meV per atom) = 92.7

abc: 5.882 5.882 5.882
angles: 130.05 109.57 91.24
Fractional positions:
Dy  0.198  0.198  0.000
Dy  0.802  0.802  0.000
Tm  0.500  0.000  0.500
Cd  0.211  0.500  0.711
Cd  0.789  0.500  0.289

---

# 6
DFT (PBE) results for a relaxed structure of ReP2IO.

Values from the calculation:
- space-group type = P4/mmm (123)
- uncorrected energy (eV for the cell shown) = -21.6
- raw formation energy (meV/atom) = 1629
- energy relative to the lowest polymorph listed for this composition (meV per atom) = 1615.0

abc: 5.068 5.068 3.841
angles: 90.00 90.00 90.00
Fractional positions:
Re  0.000  0.000  0.000
P  0.000  0.500  0.500
P  0.500  0.000  0.500
I  0.500  0.500  0.500
O  0.500  0.500  0.000

---

# 7
DFT (PBE) results for a relaxed structure of MgTc.

Values from the calculation:
- space-group type = P4/m (83)
- energy of formation (eV/atom) = 0.275
- uncorrected energy (eV for the cell shown) = -91.3
- energy relative to the lowest polymorph listed for this composition (meV per atom) = 299.8

abc: 8.226 8.226 4.611
angles: 90.00 90.00 90.00
Fractional positions:
Mg  0.066  0.665  0.000
Mg  0.127  0.235  0.500
Mg  0.235  0.873  0.500
Mg  0.335  0.066  0.000
Mg  0.665  0.934  0.000
Mg  0.765  0.127  0.500
Mg  0.873  0.765  0.500
Mg  0.934  0.335  0.000
Tc  0.287  0.539  0.500
Tc  0.299  0.407  0.000
Tc  0.407  0.701  0.000
Tc  0.461  0.287  0.500
Tc  0.539  0.713  0.500
Tc  0.593  0.299  0.000
Tc  0.701  0.593  0.000
Tc  0.713  0.461  0.500

---

# 8
DFT (PBE) results for a relaxed structure of Be2TcB.

Values from the calculation:
- space-group type = Cmcm (63)
- energy of formation (eV/atom) = -0.426
- uncorrected energy (eV for the cell shown) = -52.4

abc: 4.178 4.178 5.843
angles: 90.00 90.00 136.76
Fractional positions:
Be  0.145  0.855  0.559
Be  0.145  0.855  0.941
Be  0.855  0.145  0.059
Be  0.855  0.145  0.441
Tc  0.437  0.563  0.750
Tc  0.563  0.437  0.250
B  0.268  0.732  0.250
B  0.732  0.268  0.750

---

# 9
DFT (PBE) results for a relaxed structure of Cr2SiAg.

Values from the calculation:
- space-group type = C2/m (12)
- uncorrected energy (eV for the cell shown) = -26.0
- raw formation energy (meV/atom) = 385

abc: 4.710 4.710 2.651
angles: 90.27 90.27 114.87
Fractional positions:
Cr  0.000  0.500  0.000
Cr  0.500  0.000  0.000
Si  0.000  0.000  0.500
Ag  0.500  0.500  0.500

---

# 10
DFT (PBE) results for a relaxed structure of NiRu2Pt.

Values from the calculation:
- space-group type = C2/m (12)
- energy of formation (eV/atom) = 0.095
- uncorrected energy (eV for the cell shown) = -30.0
- energy relative to the lowest polymorph listed for this composition (meV per atom) = 93.3

abc: 4.654 4.654 4.638
angles: 99.93 99.93 33.73
Fractional positions:
Ni  0.000  0.000  0.000
Ru  0.253  0.253  0.761
Ru  0.747  0.747  0.239
Pt  0.500  0.500  0.500

---

# 11
DFT (PBE) results for a relaxed structure of Ca3Mg2Ga.

Values from the calculation:
- space-group type = P2/m (10)
- energy of formation (eV/atom) = -0.207
- uncorrected energy (eV for the cell shown) = -26.9

abc: 5.313 8.047 8.450
angles: 90.00 108.18 90.00
Fractional positions:
Ca  0.000  0.238  0.000
Ca  0.000  0.762  0.000
Ca  0.327  0.226  0.655
Ca  0.327  0.774  0.655
Ca  0.673  0.226  0.345
Ca  0.673  0.774  0.345
Mg  0.167  0.500  0.332
Mg  0.500  0.000  0.000
Mg  0.500  0.500  0.000
Mg  0.833  0.500  0.668
Ga  0.157  0.000  0.313
Ga  0.843  0.000  0.687

---

# 12
DFT (PBE) results for a relaxed structure of Hg2P.

Values from the calculation:
- space-group type = C2/m (12)
- energy of formation (eV/atom) = 0.089
- uncorrected energy (eV for the cell shown) = -11.5
- energy relative to the lowest polymorph listed for this composition (meV per atom) = 0.7

abc: 8.214 8.214 6.050
angles: 93.20 93.20 22.49
Fractional positions:
Hg  0.007  0.007  0.258
Hg  0.335  0.335  0.018
Hg  0.665  0.665  0.982
Hg  0.993  0.993  0.742
P  0.295  0.295  0.506
P  0.705  0.705  0.494

---

# 13
DFT (PBE) results for a relaxed structure of Cs8NaBr4.

Values from the calculation:
- space-group type = Cm (8)
- uncorrected energy (eV for the cell shown) = -28.3
- raw formation energy (meV/atom) = -1036

abc: 13.236 13.236 18.321
angles: 133.63 133.63 22.87
Fractional positions:
Cs  0.000  0.000  0.000
Cs  0.015  0.015  0.418
Cs  0.034  0.034  0.722
Cs  0.316  0.316  0.351
Cs  0.335  0.335  0.655
Cs  0.350  0.350  0.072
Cs  0.633  0.633  0.329
Cs  0.717  0.717  0.744
Na  0.675  0.675  0.036
Br  0.356  0.356  0.875
Br  0.519  0.519  0.562
Br  0.831  0.831  0.511
Br  0.994  0.994  0.198

---

# 14
DFT (PBE) results for a relaxed structure of MnOsI3.

Values from the calculation:
- space-group type = Pm-3m (221)
- uncorrected energy (eV for the cell shown) = -18.7
- raw formation energy (meV/atom) = 1269
- energy relative to the lowest polymorph listed for this composition (meV per atom) = 326.9

abc: 5.471 5.471 5.471
angles: 90.00 90.00 90.00
Fractional positions:
Mn  0.000  0.000  0.000
Os  0.500  0.500  0.500
I  0.000  0.000  0.500
I  0.000  0.500  0.000
I  0.500  0.000  0.000

---

# 15
DFT (PBE) results for a relaxed structure of Si2RhAu.

Values from the calculation:
- space-group type = P2/m (10)
- uncorrected energy (eV for the cell shown) = -21.5
- raw formation energy (meV/atom) = 1
- energy relative to the lowest polymorph listed for this composition (meV per atom) = 283.7

abc: 3.045 4.140 5.076
angles: 90.00 96.61 90.00
Fractional positions:
Si  0.173  0.000  0.295
Si  0.827  0.000  0.705
Rh  0.500  0.500  0.500
Au  0.000  0.500  0.000

---

# 16
DFT (PBE) results for a relaxed structure of Be2MoAs.

Values from the calculation:
- space-group type = R-3m (166)
- energy of formation (eV/atom) = 0.413
- uncorrected energy (eV for the cell shown) = -21.3

abc: 7.965 7.965 7.965
angles: 20.47 20.47 20.47
Fractional positions:
Be  0.250  0.250  0.250
Be  0.750  0.750  0.750
Mo  0.000  0.000  0.000
As  0.500  0.500  0.500

---

# 17
DFT (PBE) results for a relaxed structure of ScPBr2.

Values from the calculation:
- space-group type = P4/mmm (123)
- uncorrected energy (eV for the cell shown) = -16.4
- raw formation energy (meV/atom) = -336
- energy relative to the lowest polymorph listed for this composition (meV per atom) = 617.0

abc: 3.260 3.260 9.799
angles: 90.00 90.00 90.00
Fractional positions:
Sc  0.000  0.000  0.000
P  0.000  0.000  0.500
Br  0.500  0.500  0.169
Br  0.500  0.500  0.831

---

# 18
DFT (PBE) results for a relaxed structure of Fe2CoCuTe.

Values from the calculation:
- space-group type = P4/mmm (123)
- uncorrected energy (eV for the cell shown) = -26.7
- raw formation energy (meV/atom) = 917

abc: 4.450 4.450 4.612
angles: 90.00 90.00 90.00
Fractional positions:
Fe  0.000  0.500  0.000
Fe  0.500  0.000  0.000
Co  0.000  0.000  0.000
Cu  0.500  0.500  0.500
Te  0.000  0.000  0.500

---

# 19
DFT (PBE) results for a relaxed structure of Nd5Sb4Br.

Values from the calculation:
- space-group type = Immm (71)
- uncorrected energy (eV for the cell shown) = -54.1
- raw formation energy (meV/atom) = -1209

abc: 11.878 11.878 11.878
angles: 158.05 149.03 38.29
Fractional positions:
Nd  0.000  0.000  0.000
Nd  0.199  0.199  0.000
Nd  0.394  0.394  0.000
Nd  0.606  0.606  0.000
Nd  0.801  0.801  0.000
Sb  0.098  0.598  0.500
Sb  0.300  0.800  0.500
Sb  0.700  0.200  0.500
Sb  0.902  0.402  0.500
Br  0.500  0.000  0.500

---

# 20
DFT (PBE) results for a relaxed structure of Ba2ZnCd2.

Values from the calculation:
- space-group type = P4/mbm (127)
- energy of formation (eV/atom) = -0.131
- uncorrected energy (eV for the cell shown) = -15.2
- energy relative to the lowest polymorph listed for this composition (meV per atom) = 127.0

abc: 8.144 8.144 5.302
angles: 90.00 90.00 90.00
Fractional positions:
Ba  0.180  0.320  0.000
Ba  0.320  0.820  0.000
Ba  0.680  0.180  0.000
Ba  0.820  0.680  0.000
Zn  0.000  0.000  0.500
Zn  0.500  0.500  0.500
Cd  0.127  0.627  0.500
Cd  0.373  0.127  0.500
Cd  0.627  0.873  0.500
Cd  0.873  0.373  0.500